DFT (PBE) results for a geometry-optimized InGePOs2 structure.

The space group is P4/mmm (No. 123) and the conventional cell measures 4.598, 4.598 and 4.963 Å, with angles of 90.00, 90.00 and 90.00 degrees. The distinct sites, in fractional coordinates, are In at (0.000, 0.000, 0.000), Ge at (0.000, 0.000, 0.500), P at (0.500, 0.500, 0.000) and Os at (0.000, 0.500, 0.500).

The value obtained for the energy is -5.29 eV per atom.

DFT (PBE) results for a geometry-optimized RbIn2GeOs structure.

The space group is P4/mmm (No. 123) and the conventional cell measures 5.305, 5.305 and 4.840 Å, with angles of 90.00, 90.00 and 90.00 degrees. The distinct sites, in fractional coordinates, are Rb at (0.000, 0.000, 0.000), In at (0.000, 0.500, 0.500), Ge at (0.500, 0.500, 0.000) and Os at (0.500, 0.500, 0.500).

The value obtained for the energy is -4.38 eV per atom.

DFT (PBE) results for a geometry-optimized InGeOs2Rh structure.

The space group is P4/mmm (No. 123) and the conventional cell measures 4.743, 4.743 and 4.915 Å, with angles of 90.00, 90.00 and 90.00 degrees. The distinct sites, in fractional coordinates, are In at (0.000, 0.000, 0.000), Ge at (0.500, 0.500, 0.000), Os at (0.000, 0.500, 0.500) and Rh at (0.000, 0.000, 0.500).

The value obtained for the energy is -5.76 eV per atom.